A plane-wave DFT calculation with PBE-GGA was carried out for MgPaRu after structural relaxation.

Cell and atoms, written as POSCAR:
```
MgPaRu
1.0
-1.248 -2.030 3.773
5.025 -1.359 0.932
-1.173 6.143 0.282
Mg Pa Ru
2 2 2
Direct
0.500 0.742 0.000
0.500 0.258 0.000
0.806 0.806 0.612
0.194 0.194 0.388
0.863 0.363 0.726
0.137 0.637 0.274
```

Summary:
- Crystal system: orthorhombic
- Offset from the most stable computed form: 0.00 eV per formula unit
- Energy of formation: -291 meV per atom
- Total magnetization: 0.000 Bohr magnetons per cell
- Mass density: 9.61 Mg/m³